# 1
## KCo2P (GGA-PBE)

Data for crystalline KCo2P at its relaxed geometry.

## Properties
space group	Immm
total energy	-4.74	eV/atom
N(E_F)	6.65	states/eV per cell
crystal system	orthorhombic

CIF file:
```
data_KCo2P
_chemical_formula_sum 'K1 Co2 P1'
_space_group_name_H-M_alt 'P 1'
_space_group_IT_number 1
_space_group_name_Hall 'P 1'
_cell_length_a 5.413
_cell_length_b 5.413
_cell_length_c 5.413
_cell_angle_alpha 144.32
_cell_angle_beta 115.76
_cell_angle_gamma 75.71
loop_
_atom_site_label
_atom_site_fract_x
_atom_site_fract_y
_atom_site_fract_z
_atom_site_occupancy
Co1 0.901 0.901 0.000 1
Co2 0.599 0.599 0.000 1
P1 0.750 0.250 0.500 1
K1 0.250 0.750 0.500 1
```

=====

# 2
## KCo2P (GGA-PBE)

Data for crystalline KCo2P at its relaxed geometry.

## Properties
space group	P4mm
total energy	-4.93	eV/atom
N(E_F)	4.44	states/eV per cell
crystal system	tetragonal

CIF file:
```
data_KCo2P
_chemical_formula_sum 'K1 Co2 P1'
_space_group_name_H-M_alt 'P 1'
_space_group_IT_number 1
_space_group_name_Hall 'P 1'
_cell_length_a 3.065
_cell_length_b 3.065
_cell_length_c 7.360
_cell_angle_alpha 90.00
_cell_angle_beta 90.00
_cell_angle_gamma 90.00
loop_
_atom_site_label
_atom_site_fract_x
_atom_site_fract_y
_atom_site_fract_z
_atom_site_occupancy
Co1 0.000 0.000 0.994 1
Co2 0.500 0.500 0.145 1
K1 0.000 0.000 0.514 1
P1 0.500 0.500 0.847 1
```

=====

# 3
## KCo2P (GGA-PBE)

Data for crystalline KCo2P at its relaxed geometry.

## Properties
space group	I4_1/amd
total energy	-4.95	eV/atom
N(E_F)	10.38	states/eV per cell
crystal system	tetragonal

CIF file:
```
data_KCo2P
_chemical_formula_sum 'K2 Co4 P2'
_space_group_name_H-M_alt 'P 1'
_space_group_IT_number 1
_space_group_name_Hall 'P 1'
_cell_length_a 4.831
_cell_length_b 4.831
_cell_length_c 8.152
_cell_angle_alpha 72.77
_cell_angle_beta 72.77
_cell_angle_gamma 90.00
loop_
_atom_site_label
_atom_site_fract_x
_atom_site_fract_y
_atom_site_fract_z
_atom_site_occupancy
Co1 0.875 0.625 0.750 1
Co2 0.375 0.125 0.250 1
Co3 0.375 0.625 0.250 1
Co4 0.375 0.625 0.750 1
K1 0.000 0.000 0.000 1
K2 0.750 0.250 0.500 1
P1 0.250 0.750 0.500 1
P2 0.500 0.500 0.000 1
```

=====

# 4
## KCo2P (GGA-PBE)

Data for crystalline KCo2P at its relaxed geometry.

## Properties
space group	P4/mmm
total energy	-4.86	eV/atom
N(E_F)	4.65	states/eV per cell
crystal system	tetragonal

CIF file:
```
data_KCo2P
_chemical_formula_sum 'K1 Co2 P1'
_space_group_name_H-M_alt 'P 1'
_space_group_IT_number 1
_space_group_name_Hall 'P 1'
_cell_length_a 2.800
_cell_length_b 2.800
_cell_length_c 8.002
_cell_angle_alpha 90.00
_cell_angle_beta 90.00
_cell_angle_gamma 89.99
loop_
_atom_site_label
_atom_site_fract_x
_atom_site_fract_y
_atom_site_fract_z
_atom_site_occupancy
Co1 0.000 0.000 0.903 1
Co2 0.000 0.000 0.597 1
P1 0.500 0.500 0.750 1
K1 0.500 0.500 0.250 1
```